A plane-wave DFT calculation with GGA-PBE was carried out for Rb2NaO6 after structural relaxation.

a b c (Å): 4.3013 6.7792 6.6067
angles (deg): 119.10 90.00 90.00
Each line ends with the local moment (μB).
Sites, in units of the cell vectors:
Rb (0.5000, 0.3240, 0.6622)  0.00
Rb (0.5000, 0.6760, 0.3378)  0.00
O (0.0000, 0.5964, 0.6028)  0.34
O (0.0000, 0.0002, 0.3968)  -0.25
O (0.0000, 0.4035, 0.0066)  0.34
O (0.0000, 0.5965, 0.9934)  0.34
O (0.0000, 0.9998, 0.6032)  -0.25
O (0.0000, 0.4036, 0.3972)  0.34
Na (0.0000, 0.0000, 0.0000)  0.00

Output
* ρ: 2860 kg/m3
* M_tot: 1.03 μB per formula unit
* DOS at the Fermi energy: 3.535 states/eV/cell
* ΔE_f (raw): -689.6 meV per atom